1.
Computed, not measured: an optimized crystal structure of TlSbTe2Pd at the GGA-PBE level of DFT.

Results
Space-group type   P4/mmm, No. 123
DFT total energy   -12.55 eV per formula unit

Structure (POSCAR):
```
TlSbTe2Pd
1.0
-3.233 3.422 -3.299
-3.854 0.449 4.241
2.725 4.503 2.000
Tl Te Pd Sb
1 2 1 1
Cartesian
0.000 0.000 0.000
-1.927 0.224 2.121
-1.616 1.711 -1.650
-2.181 4.187 1.471
1.362 2.251 1.000
```



2.
Computed, not measured: an optimized crystal structure of VSb2TePd at the GGA-PBE level of DFT.

Results
Space-group type   P4/mmm, No. 123
DFT total energy   -22.36 eV per formula unit

Structure (POSCAR):
```
VSb2TePd
1.0
-2.827 -2.017 3.777
4.091 0.065 3.097
-1.339 4.993 1.664
V Sb Pd Te
1 2 1 1
Cartesian
-0.038 1.520 4.269
2.045 0.033 1.548
-1.414 -1.009 1.888
0.000 0.000 0.000
-0.670 2.496 0.832
```



3.
Computed, not measured: an optimized crystal structure of VSbTe2Pd at the GGA-PBE level of DFT.

Results
Space-group type   P4/mmm, No. 123
DFT total energy   -20.41 eV per formula unit

Structure (POSCAR):
```
VSbTe2Pd
1.0
5.340 0.000 0.000
0.000 5.340 0.000
0.000 0.000 5.029
Te Sb V Pd
2 1 1 1
Cartesian
0.000 2.670 0.000
2.670 0.000 0.000
0.000 0.000 2.515
2.670 2.670 2.515
0.000 0.000 0.000
```



4.
Computed, not measured: an optimized crystal structure of VSb2TePd at the GGA-PBE level of DFT.

Results
Space-group type   P4/mmm, No. 123
DFT total energy   -23.38 eV per formula unit

Structure (POSCAR):
```
VSb2TePd
1.0
5.080 0.000 0.000
0.000 5.080 0.000
0.000 0.000 5.065
Pd Te Sb V
1 1 2 1
Cartesian
2.540 2.540 2.532
0.000 0.000 2.532
0.000 2.540 0.000
2.540 0.000 0.000
0.000 0.000 0.000
```



5.
Computed, not measured: an optimized crystal structure of VSbTe2Pd at the GGA-PBE level of DFT.

Results
Space-group type   P4/mmm, No. 123
DFT total energy   -22.35 eV per formula unit

Structure (POSCAR):
```
VSbTe2Pd
1.0
5.108 0.000 0.000
0.000 5.108 0.000
0.000 0.000 5.108
Sb V Te Pd
1 1 2 1
Cartesian
0.000 0.000 2.554
0.000 0.000 0.000
2.554 0.000 0.000
0.000 2.554 0.000
2.554 2.554 2.554
```



6.
Computed, not measured: an optimized crystal structure of ZrSb2TePd at the GGA-PBE level of DFT.

Results
Space-group type   P4/mmm, No. 123
DFT total energy   -19.90 eV per formula unit

Structure (POSCAR):
```
ZrSb2TePd
1.0
5.651 0.000 0.000
0.000 5.283 0.000
0.000 0.000 5.651
Te Sb Pd Zr
1 2 1 1
Cartesian
0.000 0.000 0.000
0.000 0.000 2.825
2.825 0.000 0.000
2.825 2.641 2.825
0.000 2.641 0.000
```



7.
Computed, not measured: an optimized crystal structure of ZrSb2TePd at the GGA-PBE level of DFT.

Results
Space-group type   P4/mmm, No. 123
DFT total energy   -23.34 eV per formula unit

Structure (POSCAR):
```
ZrSb2TePd
1.0
5.133 0.000 0.000
0.000 5.133 0.000
0.000 0.000 5.290
Sb Te Zr Pd
2 1 1 1
Cartesian
2.566 0.000 0.000
0.000 2.566 0.000
0.000 0.000 2.645
2.566 2.566 2.645
0.000 0.000 0.000
```



8.
Computed, not measured: an optimized crystal structure of ZrSbTe2Pd at the GGA-PBE level of DFT.

Results
Space-group type   P4/mmm, No. 123
DFT total energy   -22.35 eV per formula unit

Structure (POSCAR):
```
ZrSbTe2Pd
1.0
5.530 0.000 0.000
0.000 5.530 0.000
0.000 0.000 5.552
Sb Te Zr Pd
1 2 1 1
Cartesian
0.000 0.000 2.776
2.765 0.000 0.000
0.000 2.765 0.000
0.000 0.000 0.000
2.765 2.765 2.776
```



9.
Computed, not measured: an optimized crystal structure of ZrSbTe2Pd at the GGA-PBE level of DFT.

Results
Space-group type   P4/mmm, No. 123
DFT total energy   -22.57 eV per formula unit

Structure (POSCAR):
```
ZrSbTe2Pd
1.0
-0.088 5.104 1.318
-4.378 0.664 -2.861
-2.832 -1.102 4.078
Pd Te Sb Zr
1 2 1 1
Cartesian
0.000 0.000 0.000
-0.044 2.552 0.659
-2.189 0.332 -1.431
-1.416 -0.551 2.039
-3.649 2.333 1.268
```



10.
Computed, not measured: an optimized crystal structure of ZrSb2TePd at the GGA-PBE level of DFT.

Results
Space-group type   P4/mmm, No. 123
DFT total energy   -22.84 eV per formula unit

Structure (POSCAR):
```
ZrSb2TePd
1.0
-5.170 -1.492 1.216
-0.835 -1.402 -5.270
1.726 -5.099 1.083
Sb Te Pd Zr
2 1 1 1
Cartesian
-0.418 -0.701 -2.635
-2.585 -0.746 0.608
0.863 -2.550 0.542
-2.140 -3.997 -1.485
0.000 0.000 0.000
```



11.
Computed, not measured: an optimized crystal structure of Th3Sb3Pd2 at the GGA-PBE level of DFT.

Results
Space-group type   Cmcm, No. 63
DFT total energy   -51.97 eV per formula unit

Structure (POSCAR):
```
Th3Sb3Pd2
1.0
4.441 0.000 0.000
-2.221 5.796 0.000
0.000 0.000 15.783
Pd Th Sb
4 6 6
Cartesian
2.221 3.127 14.071
2.221 3.127 9.602
0.000 2.669 1.711
0.000 2.669 6.180
0.000 4.077 11.837
2.221 4.988 1.719
0.000 0.808 9.610
2.221 1.719 3.946
2.221 4.988 6.172
0.000 0.808 14.064
2.221 1.491 7.204
0.000 4.305 8.578
2.221 1.523 11.837
0.000 4.305 15.096
0.000 4.273 3.946
2.221 1.491 0.687
```



12.
Computed, not measured: an optimized crystal structure of Th3Sb4Pd2 at the GGA-PBE level of DFT.

Results
Space-group type   C2/m, No. 12
DFT total energy   -56.18 eV per formula unit

Structure (POSCAR):
```
Th3Sb4Pd2
1.0
-1.697 -2.882 -2.857
7.076 -1.194 0.389
-5.639 -3.313 6.691
Sb Pd Th
4 2 3
Cartesian
0.988 -2.665 -1.284
-1.248 -4.724 5.507
1.029 -5.729 1.783
-1.289 -1.660 2.440
0.371 -3.716 3.529
-0.630 -3.673 0.694
2.736 -2.907 1.308
-2.995 -4.482 2.915
0.000 0.000 0.000
```



13.
Computed, not measured: an optimized crystal structure of Th2SbPd at the GGA-PBE level of DFT.

Results
Space-group type   P2_1/m, No. 11
DFT total energy   -27.33 eV per formula unit

Structure (POSCAR):
```
Th2SbPd
1.0
4.232 0.000 0.000
0.000 6.359 0.044
0.000 -3.115 8.120
Th Pd Sb
4 2 2
Cartesian
3.174 -0.077 3.640
3.174 -1.458 7.336
1.058 3.321 4.523
1.058 4.701 0.827
1.058 0.027 5.801
3.174 3.217 2.362
1.058 1.447 1.675
3.174 1.797 6.489
```



14.
Computed, not measured: an optimized crystal structure of ThSbPd at the GGA-PBE level of DFT.

Results
Space-group type   I4mm, No. 107
DFT total energy   -18.55 eV per formula unit

Structure (POSCAR):
```
ThSbPd
1.0
3.635 0.000 0.000
0.000 3.635 0.000
-1.817 -1.817 5.568
Sb Pd Th
1 1 1
Cartesian
0.000 0.000 3.498
1.817 1.817 1.838
0.000 0.000 0.232
```



15.
Computed, not measured: an optimized crystal structure of Th2SbPd at the GGA-PBE level of DFT.

Results
Space-group type   R-3m, No. 166
DFT total energy   -24.48 eV per formula unit

Structure (POSCAR):
```
Th2SbPd
1.0
3.443 0.000 0.000
1.721 2.982 0.000
1.721 0.994 10.797
Pd Sb Th
1 1 2
Cartesian
0.000 0.000 0.000
3.443 1.988 5.399
5.164 2.982 2.710
1.721 0.994 8.088
```



16.
Computed, not measured: an optimized crystal structure of ThSbPd2 at the GGA-PBE level of DFT.

Results
Space-group type   Cmcm, No. 63
DFT total energy   -24.27 eV per formula unit

Structure (POSCAR):
```
ThSbPd2
1.0
-1.564 1.504 3.616
-7.591 -0.469 -3.089
0.306 -5.965 0.154
Pd Sb Th
4 2 2
Cartesian
-7.178 -2.378 -2.116
-4.565 -2.217 -1.053
-4.285 -2.713 1.734
-1.672 -2.552 2.797
-2.292 -4.431 0.851
-6.558 -0.499 -0.171
-2.020 -1.457 -0.268
-6.830 -3.473 0.949
```



17.
Computed, not measured: an optimized crystal structure of ThSb2Pd at the GGA-PBE level of DFT.

Results
Space-group type   P4/mmm, No. 123
DFT total energy   -23.35 eV per formula unit

Structure (POSCAR):
```
ThSb2Pd
1.0
4.347 0.000 0.000
0.000 4.732 0.000
0.000 0.000 4.732
Th Pd Sb
1 1 2
Cartesian
2.173 2.366 2.366
2.173 0.000 0.000
0.000 2.366 0.000
0.000 0.000 2.366
```



18.
Computed, not measured: an optimized crystal structure of ThSb2Pd4 at the GGA-PBE level of DFT.

Results
Space-group type   Pnma, No. 62
DFT total energy   -41.16 eV per formula unit

Structure (POSCAR):
```
ThSb2Pd4
1.0
4.516 0.000 0.000
0.000 7.598 0.000
0.000 0.000 16.756
Pd Sb Th
16 8 4
Cartesian
1.129 6.578 3.003
1.129 1.431 11.879
3.387 4.499 16.094
3.387 1.020 13.753
3.387 6.897 7.716
1.129 0.620 15.743
3.387 6.978 1.013
1.129 0.700 9.040
3.387 4.418 9.391
1.129 2.367 3.501
3.387 6.166 4.877
3.387 2.779 5.375
3.387 5.230 13.255
1.129 4.819 11.381
1.129 3.179 7.365
1.129 3.099 0.662
1.129 5.625 8.654
3.387 1.826 16.479
3.387 0.777 3.285
1.129 4.576 5.092
1.129 6.821 13.470
3.387 3.022 11.663
3.387 1.973 8.101
1.129 5.772 0.276
3.387 4.276 2.477
1.129 0.477 5.901
1.129 3.322 14.279
3.387 7.121 10.855
```



19.
Computed, not measured: an optimized crystal structure of ThSbPd2 at the GGA-PBE level of DFT.

Results
Space-group type   Pmmm, No. 47
DFT total energy   -24.67 eV per formula unit

Structure (POSCAR):
```
ThSbPd2
1.0
4.446 0.000 0.000
0.000 3.510 0.375
0.000 -0.622 5.823
Sb Pd Th
1 2 1
Cartesian
2.223 -0.311 2.911
0.000 -0.143 1.342
0.000 3.031 4.855
2.223 1.755 0.187
```



20.
Computed, not measured: an optimized crystal structure of Th2SbPd9 at the GGA-PBE level of DFT.

Results
Space-group type   P4/mmm, No. 123
DFT total energy   -74.69 eV per formula unit

Structure (POSCAR):
```
Th2SbPd9
1.0
-0.462 -2.267 3.488
3.851 1.094 1.221
-4.657 9.901 5.819
Pd Th Sb
9 2 1
Cartesian
-1.418 6.031 6.244
-0.985 0.471 2.687
-1.977 8.844 5.487
1.171 2.151 1.553
0.150 2.697 4.284
-0.403 5.498 3.520
1.695 -0.587 2.354
-4.134 7.164 6.621
-2.560 3.817 4.654
-3.135 6.666 3.918
-1.522 3.236 1.902
0.000 0.000 0.000
```



| no. | M_tot (μB/atom) |
| --- | --- |
| 1 | 0.00 |
| 2 | 0.64 |
| 3 | 0.00 |
| 4 | 0.00 |
| 5 | 0.00 |
| 6 | 0.00 |
| 7 | 0.02 |
| 8 | 0.00 |
| 9 | 0.15 |
| 10 | 0.00 |
| 11 | 0.00 |
| 12 | 0.00 |
| 13 | 0.00 |
| 14 | 0.00 |
| 15 | 0.00 |
| 16 | 0.00 |
| 17 | 0.00 |
| 18 | 0.00 |
| 19 | 0.00 |
| 20 | 0.00 |